Entry A
BiRh3C: relaxed, PBE-GGA.

Lattice parameters (Å, degrees): 4.2289 4.2289 4.2289 90.00 90.00 90.00
Positions (direct):
Bi  0.0000  0.0000  0.0000
Rh  0.0000  0.5000  0.5000
Rh  0.5000  0.0000  0.5000
Rh  0.5000  0.5000  0.0000
C  0.5000  0.5000  0.5000

Calculated values
As for the magnetization: 0.0 μB/f.u.

Entry B
BiRh3C: relaxed, PBE-GGA.

Lattice parameters (Å, degrees): 4.9900 4.9900 4.9900 90.00 90.00 90.00
Positions (direct):
Bi  0.0000  0.0000  0.0000
Rh  0.0000  0.0000  0.5000
Rh  0.0000  0.5000  0.0000
Rh  0.5000  0.0000  0.0000
C  0.5000  0.5000  0.5000

Calculated values
As for the magnetization: 2.0 μB/f.u.

Which structure is the least stable? The one labeled entry B.

Entry A
Bi3RhC: relaxed, PBE-GGA.

Lattice parameters (Å, degrees): 4.8725 4.8725 4.8725 90.00 90.00 90.00
Positions (direct):
Bi  0.0000  0.0000  0.5000
Bi  0.0000  0.5000  0.0000
Bi  0.5000  0.0000  0.0000
Rh  0.5000  0.5000  0.5000
C  0.0000  0.0000  0.0000

Calculated values
As for the magnetization: 0.0 μB/f.u.

Entry B
Bi3RhC: relaxed, PBE-GGA.

Lattice parameters (Å, degrees): 5.2875 5.2875 5.2875 90.00 90.00 90.00
Positions (direct):
Bi  0.0000  0.0000  0.5000
Bi  0.0000  0.5000  0.0000
Bi  0.5000  0.0000  0.0000
Rh  0.0000  0.0000  0.0000
C  0.5000  0.5000  0.5000

Calculated values
As for the magnetization: 1.0 μB/f.u.

Which structure is the least stable? The one labeled entry B.